(1)
The following is a PBE calculation of an optimized crystal structure of Ho2Th4Sn3N2, from Alexandria via LeMat-Bulk.

Calculated values
theoretical density	9.19	g cm⁻³
formation energy from raw total energies	-0.860	eV per atom

Cell: 4.8056 4.8056 13.2910 Å, 100.42 100.42 90.00°
Last column: nearest neighbours and their distance in Å.
Element x y z (fractional)
Ho  0.6961  0.6961  0.3922  1 N 2.31
Ho  0.3039  0.3039  0.6078  1 N 2.31
Sn  0.0000  0.0000  0.0000  8 Th 3.25
Sn  0.8194  0.8194  0.6387  5 Ho 3.17-3.42, 4 Th 3.44
Sn  0.1806  0.1806  0.3613  5 Ho 3.17-3.42, 4 Th 3.44
Th  0.4151  0.9151  0.8302  2 N 2.46
Th  0.0849  0.5849  0.1698  2 N 2.46
Th  0.5849  0.0849  0.1698  2 N 2.46
Th  0.9151  0.4151  0.8302  2 N 2.46
N  0.6063  0.6063  0.2126  1 Ho 2.31, 4 Th 2.46
N  0.3937  0.3937  0.7874  1 Ho 2.31, 4 Th 2.46

(2)
The following is a PBE calculation of an optimized crystal structure of MgCuSi2F, from Alexandria via LeMat-Bulk.

Calculated values
theoretical density	3.29	g cm⁻³
formation energy from raw total energies	0.037	eV per atom

Cell: 4.6384 3.8280 4.6384 Å, 90.00 90.00 90.00°
Last column: nearest neighbours and their distance in Å.
Element x y z (fractional)
Mg  0.0000  0.5000  0.0000  2 F 1.91
Si  0.5000  0.0000  0.0000  2 F 2.32
Si  0.0000  0.0000  0.5000  2 F 2.32
F  0.0000  0.0000  0.0000  2 Mg 1.91
Cu  0.5000  0.5000  0.5000  8 Si 3.01, 4 Mg 3.28

What are the spin magnetization values for these records? In order: 0.00; 0.00 Bohr magnetons per cell.
What are the electronic total energy values for these records? In order: -0.51422; -0.26784 Ry/atom.